Entry 1:
Entry from the Alexandria database: Li4Fe5Co3O16 after structural relaxation (GGA-PBEsol).

Geometry as POSCAR:
```
Li4Fe5Co3O16
1.0
4.8232 -2.7747 0.0000
4.8232 2.7747 0.0000
-0.0208 0.0000 9.0009
Li Fe Co O
4 5 3 16
Cartesian
0.0000 0.0000 0.0000 Li
0.0046 0.0000 4.5006 Li
3.1944 0.0000 8.0745 Li
6.4225 0.0000 3.5468 Li
1.6641 0.0000 1.9494 Fe
3.2262 0.0000 4.4111 Fe
5.6480 1.3244 6.4460 Fe
6.4309 0.0000 8.9388 Fe
5.6480 -1.3244 6.4460 Fe
3.9974 1.3533 1.9335 Co
3.9974 -1.3533 1.9335 Co
8.0028 0.0000 6.4279 Co
0.0155 0.0000 2.7663 O
0.0122 0.0000 7.2641 O
2.5161 1.2114 3.1151 O
1.6298 0.0000 5.4504 O
4.0367 1.3541 5.4342 O
3.2054 0.0000 0.9672 O
5.6559 1.3841 0.9424 O
4.6132 0.0000 3.0884 O
2.5161 -1.2114 3.1151 O
5.0095 0.0000 7.6498 O
7.1203 1.2045 7.5969 O
4.0367 -1.3541 5.4342 O
6.4416 0.0000 5.4397 O
8.0276 0.0000 0.9173 O
5.6559 -1.3841 0.9424 O
7.1203 -1.2045 7.5969 O
```

Properties
The calculation puts the spin magnetization at 0.325 μB/atom. As for the density of states at the Fermi level: 14.8 states/eV/cell. As for the energy: -7.132 eV per atom. As for the crystal system: monoclinic. For the uncorrected formation energy, the calculation gives -1.422 eV/atom.

---

Entry 2:
Entry from the Alexandria database: Li3FeCo4O8 after structural relaxation (GGA-PBEsol).

Geometry as POSCAR:
```
Li3FeCo4O8
1.0
4.9175 -2.8583 0.0000
4.9175 2.8583 0.0000
-3.1554 0.0000 4.5948
Li Fe Co O
3 1 4 8
Cartesian
0.0000 0.0000 0.0000 Li
2.4588 1.4291 0.0000 Li
2.4588 -1.4291 0.0000 Li
3.3398 0.0000 2.2974 Fe
-1.5777 0.0000 2.2974 Co
0.8811 1.4291 2.2974 Co
0.8811 -1.4291 2.2974 Co
4.9175 0.0000 0.0000 Co
2.5044 1.4118 3.2980 O
0.1106 0.0000 3.3126 O
1.6924 0.0000 1.2845 O
4.1752 1.4118 1.2968 O
2.5044 -1.4118 3.2980 O
4.9872 0.0000 3.3103 O
6.5691 0.0000 1.2822 O
4.1752 -1.4118 1.2968 O
```

Properties
The calculation puts the spin magnetization at 0.187 μB/atom. As for the density of states at the Fermi level: 9.2 states/eV/cell. As for the energy: -6.770 eV per atom. As for the crystal system: monoclinic. For the uncorrected formation energy, the calculation gives -1.282 eV/atom.

---

> Which of these has the highest uncorrected formation energy?

Li3FeCo4O8

---

> The lowest uncorrected formation energy belongs to which entry?

Li4Fe5Co3O16

---

Copy entry 1 word for word.
Entry from the Alexandria database: Li4Fe5Co3O16 after structural relaxation (GGA-PBEsol).

Geometry as POSCAR:
```
Li4Fe5Co3O16
1.0
4.8232 -2.7747 0.0000
4.8232 2.7747 0.0000
-0.0208 0.0000 9.0009
Li Fe Co O
4 5 3 16
Cartesian
0.0000 0.0000 0.0000 Li
0.0046 0.0000 4.5006 Li
3.1944 0.0000 8.0745 Li
6.4225 0.0000 3.5468 Li
1.6641 0.0000 1.9494 Fe
3.2262 0.0000 4.4111 Fe
5.6480 1.3244 6.4460 Fe
6.4309 0.0000 8.9388 Fe
5.6480 -1.3244 6.4460 Fe
3.9974 1.3533 1.9335 Co
3.9974 -1.3533 1.9335 Co
8.0028 0.0000 6.4279 Co
0.0155 0.0000 2.7663 O
0.0122 0.0000 7.2641 O
2.5161 1.2114 3.1151 O
1.6298 0.0000 5.4504 O
4.0367 1.3541 5.4342 O
3.2054 0.0000 0.9672 O
5.6559 1.3841 0.9424 O
4.6132 0.0000 3.0884 O
2.5161 -1.2114 3.1151 O
5.0095 0.0000 7.6498 O
7.1203 1.2045 7.5969 O
4.0367 -1.3541 5.4342 O
6.4416 0.0000 5.4397 O
8.0276 0.0000 0.9173 O
5.6559 -1.3841 0.9424 O
7.1203 -1.2045 7.5969 O
```

Properties
The calculation puts the spin magnetization at 0.325 μB/atom. As for the density of states at the Fermi level: 14.8 states/eV/cell. As for the energy: -7.132 eV per atom. As for the crystal system: monoclinic. For the uncorrected formation energy, the calculation gives -1.422 eV/atom.

---

> Among the records above, which one has the highest uncorrected formation energy?

Li3FeCo4O8